The following is a GGA-PBE calculation of a relaxed structure of V3RhCl, from Alexandria via LeMat-Bulk.

a = 4.214 Å, b = 4.214 Å, c = 4.214 Å
α = 90.00°, β = 90.00°, γ = 90.00°
Element x y z (fractional)
V 0.000 0.000 0.500
V 0.000 0.500 0.000
V 0.500 0.000 0.000
Rh 0.500 0.500 0.500
Cl 0.000 0.000 0.000

Calculated values
Relative energy among the computed polymorphs = 0 meV per atom
Magnetic moment = 0.371 μB/atom
Raw formation energy = 0.503 eV per atom
V = 14.96 A^3/atom
ρ = 6.46 g/cm³

=====

The following is a GGA-PBE calculation of a relaxed structure of VRhCl2, from Alexandria via LeMat-Bulk.

a = 8.089 Å, b = 8.089 Å, c = 8.089 Å
α = 148.71°, β = 148.71°, γ = 44.84°
Element x y z (fractional)
V 0.000 0.000 0.000
V 0.750 0.250 0.500
Rh 0.250 0.750 0.500
Rh 0.500 0.500 0.000
Cl 0.118 0.625 0.993
Cl 0.375 0.368 0.493
Cl 0.632 0.125 0.007
Cl 0.875 0.882 0.507

Calculated values
Relative energy among the computed polymorphs = 174 meV per atom
Magnetic moment = 0.501 μB/atom
Raw formation energy = -0.013 eV per atom
V = 17.79 A^3/atom
ρ = 5.24 g/cm³

=====

The following is a GGA-PBE calculation of a relaxed structure of V2RhCl, from Alexandria via LeMat-Bulk.

a = 5.410 Å, b = 5.410 Å, c = 5.410 Å
α = 108.15°, β = 108.15°, γ = 112.15°
Element x y z (fractional)
V 0.102 0.625 0.977
V 0.375 0.352 0.477
V 0.648 0.125 0.023
V 0.875 0.898 0.523
Rh 0.250 0.750 0.500
Rh 0.500 0.500 0.000
Cl 0.000 0.000 0.000
Cl 0.750 0.250 0.500

Calculated values
Relative energy among the computed polymorphs = 0 meV per atom
Magnetic moment = 0.002 μB/atom
Raw formation energy = 0.314 eV per atom
V = 15.21 A^3/atom
ρ = 6.56 g/cm³

=====

The following is a GGA-PBE calculation of a relaxed structure of V2RhCl, from Alexandria via LeMat-Bulk.

a = 4.308 Å, b = 4.308 Å, c = 4.308 Å
α = 60.00°, β = 60.00°, γ = 60.00°
Element x y z (fractional)
V 0.250 0.250 0.250
V 0.750 0.750 0.750
Rh 0.000 0.000 0.000
Cl 0.500 0.500 0.500

Calculated values
Relative energy among the computed polymorphs = 11 meV per atom
Magnetic moment = 0.258 μB/atom
Raw formation energy = 0.325 eV per atom
V = 14.13 A^3/atom
ρ = 7.06 g/cm³